Record 1
Material: Ta3Tl
Method: DFT, SCAN
State: PBEsol geometry

Output
Magnetization (μB per formula unit): 0.00
Energy of formation (eV per atom): 0.34

a b c (Å): 2.920 5.124 5.250
angles (deg): 97.08 90.00 106.55
Positions (direct):
Ta1 0.500 0.000 0.500
Ta2 0.252 0.505 0.743
Ta3 0.748 0.495 0.257
Tl1 0.000 0.000 0.000



Record 2
Material: TaTlW2
Method: DFT, SCAN
State: PBEsol geometry

Output
Magnetization (μB per formula unit): 0.00
Energy of formation (eV per atom): 0.75

a b c (Å): 4.619 4.619 4.619
angles (deg): 60.00 60.00 60.00
Positions (direct):
Ta1 0.500 0.500 0.500
Tl1 0.250 0.250 0.250
W1 0.000 0.000 0.000
W2 0.750 0.750 0.750



Record 3
Material: TaTlW2
Method: DFT, SCAN
State: PBEsol geometry

Output
Magnetization (μB per formula unit): 0.00
Energy of formation (eV per atom): 0.54

a b c (Å): 3.439 3.439 6.026
angles (deg): 90.00 90.00 90.00
Positions (direct):
Ta1 0.500 0.500 0.000
Tl1 0.500 0.500 0.500
W1 0.000 0.000 0.784
W2 0.000 0.000 0.216



Record 4
Material: Ta2TlW
Method: DFT, SCAN
State: PBEsol geometry

Output
Magnetization (μB per formula unit): 0.00
Energy of formation (eV per atom): 0.37

a b c (Å): 3.409 3.409 6.206
angles (deg): 90.00 90.00 90.00
Positions (direct):
Ta1 0.000 0.000 0.995
Ta2 0.500 0.500 0.228
Tl1 0.000 0.000 0.504
W1 0.500 0.500 0.774



Record 5
Material: TaTlW2
Method: DFT, SCAN
State: PBEsol geometry

Output
Magnetization (μB per formula unit): 0.00
Energy of formation (eV per atom): 0.76

a b c (Å): 2.786 2.786 9.206
angles (deg): 90.00 90.00 90.00
Positions (direct):
Ta1 0.500 0.500 0.000
Tl1 0.500 0.500 0.500
W1 0.000 0.000 0.759
W2 0.000 0.000 0.241



Record 6
Material: Ta2TlW
Method: DFT, SCAN
State: PBEsol geometry

Output
Magnetization (μB per formula unit): 0.00
Energy of formation (eV per atom): 0.36

a b c (Å): 4.483 3.534 4.484
angles (deg): 90.00 90.00 90.00
Positions (direct):
Ta1 0.000 0.000 0.000
Ta2 0.500 0.000 0.500
Tl1 0.500 0.500 0.000
W1 0.000 0.500 0.500



Record 7
Material: Ta2TlW
Method: DFT, SCAN
State: PBEsol geometry

Output
Magnetization (μB per formula unit): 0.00
Energy of formation (eV per atom): 0.24

a b c (Å): 2.933 2.933 9.223
angles (deg): 90.00 90.00 112.36
Positions (direct):
Ta1 0.000 0.000 0.229
Ta2 0.000 0.000 0.771
Tl1 0.500 0.500 0.500
W1 0.500 0.500 0.000



Record 8
Material: Ta2TlW
Method: DFT, SCAN
State: PBEsol geometry

Output
Magnetization (μB per formula unit): 0.00
Energy of formation (eV per atom): 0.51

a b c (Å): 4.033 4.033 5.242
angles (deg): 112.62 112.62 90.00
Positions (direct):
Ta1 0.000 0.000 0.000
Ta2 0.750 0.250 0.500
Tl1 0.500 0.500 0.000
W1 0.250 0.750 0.500